Density functional theory data (PBE) for a relaxed SrGa3Ni3 crystal.

The calculation puts the energy relative to the elements at -0.200 eV per atom. Its crystal system is trigonal. The electronic total energy comes out at -177.03 eV per cell. For the density of states at the Fermi level, the calculation gives 19.7 states/eV/cell.

Lattice parameters (Å, degrees): 6.4595 6.4595 21.4096 90.00 90.00 120.00
Space group R-3 (No. 148, hexagonal axes)
Inequivalent atoms, fractional coordinates:
1 Sr 0.0000 0.0000 0.1614 x6
2 Ga 0.0276 0.5922 0.3767 x18
3 Ni 0.0106 0.7867 0.5959 x18

Density functional theory data (PBE) for a relaxed Sr2GaTcNi crystal.

The calculation puts the energy relative to the elements at 0.641 eV per atom. Its crystal system is tetragonal. The electronic total energy comes out at -19.33 eV per cell. For the density of states at the Fermi level, the calculation gives 4.7 states/eV/cell.

Lattice parameters (Å, degrees): 5.719 5.719 4.464 90.00 90.00 90.00
Space group P4/mmm (No. 123)
Inequivalent atoms, fractional coordinates:
1 Sr 0.000 0.500 0.000 x2
2 Ga 0.000 0.000 0.500 x1
3 Tc 0.500 0.500 0.000 x1
4 Ni 0.500 0.500 0.500 x1

Density functional theory data (PBE) for a relaxed Sr2Ga6TcNi crystal.

The calculation puts the energy relative to the elements at -0.357 eV per atom. Its crystal system is triclinic. The electronic total energy comes out at -41.24 eV per cell. For the density of states at the Fermi level, the calculation gives 6.0 states/eV/cell.

Lattice parameters (Å, degrees): 6.138 6.519 6.968 65.78 63.93 62.02
Space group P-1 (No. 2)
Inequivalent atoms, fractional coordinates:
1 Sr 0.241 0.172 0.345 x2
2 Ga 0.206 0.284 0.796 x2
3 Ga 0.246 0.686 0.823 x2
4 Ga 0.286 0.715 0.204 x2
5 Tc 0.500 0.500 0.500 x1
6 Ni 0.000 0.000 0.000 x1

Density functional theory data (PBE) for a relaxed Sr2GaNiTe crystal.

The raw formation energy comes out at -0.649 eV/atom. Its crystal system is tetragonal. The electronic total energy comes out at -18.56 eV per cell. For the density of states at the Fermi level, the calculation gives 2.9 states/eV/cell.

Lattice parameters (Å, degrees): 5.707 5.707 4.551 90.00 90.00 90.00
Space group P4/mmm (No. 123)
Inequivalent atoms, fractional coordinates:
1 Sr 0.000 0.500 0.000 x2
2 Ga 0.000 0.000 0.500 x1
3 Ni 0.000 0.000 0.000 x1
4 Te 0.500 0.500 0.500 x1

Density functional theory data (PBE) for a relaxed Sr2TlGaNi crystal.

The calculation puts the energy relative to the elements at -0.231 eV per atom. Its crystal system is tetragonal. The electronic total energy comes out at -15.69 eV per cell. For the density of states at the Fermi level, the calculation gives 5.0 states/eV/cell.

Lattice parameters (Å, degrees): 5.761 5.761 4.592 90.00 90.00 90.00
Space group P4/mmm (No. 123)
Inequivalent atoms, fractional coordinates:
1 Sr 0.000 0.500 0.000 x2
2 Tl 0.000 0.000 0.500 x1
3 Ga 0.500 0.500 0.500 x1
4 Ni 0.500 0.500 0.000 x1

Density functional theory data (PBE) for a relaxed SrTl2GaNi crystal.

The calculation puts the energy relative to the elements at -0.136 eV per atom. Its crystal system is tetragonal. The electronic total energy comes out at -15.90 eV per cell. For the density of states at the Fermi level, the calculation gives 3.0 states/eV/cell.

Lattice parameters (Å, degrees): 5.188 5.188 4.753 90.00 90.00 90.00
Space group P4/mmm (No. 123)
Inequivalent atoms, fractional coordinates:
1 Sr 0.000 0.000 0.000 x1
2 Tl 0.000 0.500 0.500 x2
3 Ga 0.500 0.500 0.000 x1
4 Ni 0.500 0.500 0.500 x1

Density functional theory data (PBE) for a relaxed SrGa2NiW crystal.

The calculation puts the energy relative to the elements at 0.867 eV per atom. Its crystal system is tetragonal. The electronic total energy comes out at -22.13 eV per cell. For the density of states at the Fermi level, the calculation gives 3.2 states/eV/cell.

Lattice parameters (Å, degrees): 4.634 4.634 5.216 90.00 90.00 90.00
Space group P4/mmm (No. 123)
Inequivalent atoms, fractional coordinates:
1 Sr 0.000 0.000 0.000 x1
2 Ga 0.000 0.500 0.500 x2
3 Ni 0.000 0.000 0.500 x1
4 W 0.500 0.500 0.000 x1

Density functional theory data (PBE) for a relaxed SrZn2Ga4Ni crystal.

The calculation puts the energy relative to the elements at -0.219 eV per atom. Its crystal system is trigonal. The electronic total energy comes out at -71.62 eV per cell. For the density of states at the Fermi level, the calculation gives 10.9 states/eV/cell.

Lattice parameters (Å, degrees): 4.3224 4.3224 27.9703 90.00 90.00 120.00
Space group R-3m (No. 166, hexagonal axes)
Inequivalent atoms, fractional coordinates:
1 Sr 0.0000 0.0000 0.0000 x3
2 Zn 0.0000 0.0000 0.2439 x6
3 Ga 0.0000 0.0000 0.1364 x6
4 Ga 0.0000 0.0000 0.4091 x6
5 Ni 0.0000 0.0000 0.5000 x3

Density functional theory data (PBE) for a relaxed SrZnGaNi crystal.

The calculation puts the energy relative to the elements at -0.336 eV per atom. Its crystal system is monoclinic. The electronic total energy comes out at -26.21 eV per cell. For the density of states at the Fermi level, the calculation gives 3.9 states/eV/cell.

Lattice parameters (Å, degrees): 7.376 4.280 5.999 90.00 114.25 90.00
Space group Cm (No. 8)
Inequivalent atoms, fractional coordinates:
1 Sr 0.000 0.000 0.000 x2
2 Zn 0.192 0.000 0.575 x2
3 Ga 0.478 0.000 0.433 x2
4 Ni 0.314 0.500 0.440 x2

Density functional theory data (PBE) for a relaxed Sr2ZnGaNi crystal.

The calculation puts the energy relative to the elements at -0.137 eV per atom. Its crystal system is tetragonal. The electronic total energy comes out at -14.13 eV per cell. For the density of states at the Fermi level, the calculation gives 3.1 states/eV/cell.

Lattice parameters (Å, degrees): 5.712 5.712 4.553 90.00 90.00 90.00
Space group P4/mmm (No. 123)
Inequivalent atoms, fractional coordinates:
1 Sr 0.000 0.500 0.000 x2
2 Zn 0.000 0.000 0.500 x1
3 Ga 0.500 0.500 0.500 x1
4 Ni 0.500 0.500 0.000 x1

Density functional theory data (PBE) for a relaxed SrZnGa2Ni crystal.

The calculation puts the energy relative to the elements at -0.310 eV per atom. Its crystal system is tetragonal. The electronic total energy comes out at -16.34 eV per cell. For the density of states at the Fermi level, the calculation gives 3.0 states/eV/cell.

Lattice parameters (Å, degrees): 4.656 4.656 4.734 90.00 90.00 90.00
Space group P4/mmm (No. 123)
Inequivalent atoms, fractional coordinates:
1 Sr 0.000 0.000 0.000 x1
2 Zn 0.500 0.500 0.000 x1
3 Ga 0.000 0.500 0.500 x2
4 Ni 0.500 0.500 0.500 x1